Below is a relaxed AlNiPO2 crystal, with properties calculated at the PBE with a Hubbard U level.

Unit cell a=3.5174 b=3.5174 c=5.5352 alpha=90.00 beta=90.00 gamma=90.00
Space group P4/mmm (No. 123)
One atom of each set of equivalent atoms:
Al1 0.0000 0.0000 0.0000 (multiplicity 1)
Ni1 0.5000 0.5000 0.5000 (multiplicity 1)
P1 0.0000 0.0000 0.5000 (multiplicity 1)
O1 0.0000 0.5000 0.0000 (multiplicity 2)

## Properties
- V: 13.70 A^3/atom
- DOS at the Fermi energy: 3.66 states/eV/cell
- Energy relative to the lowest polymorph listed for this composition: 0 meV per atom